Computed, not measured: a relaxed structure of PrTm2Ge at the PBE level of DFT.

```
data_PrTm2Ge
_chemical_formula_sum 'Pr3 Tm6 Ge3'
_cell_length_a 3.7213
_cell_length_b 3.7213
_cell_length_c 29.3518
_cell_angle_alpha 90.00
_cell_angle_beta 90.00
_cell_angle_gamma 120.00
_symmetry_space_group_name_H-M 'R 3 m'
_symmetry_Int_Tables_number 160
_symmetry_space_group_name_Hall 'R 3 -2"'
loop_
_atom_site_label
_atom_site_fract_x
_atom_site_fract_y
_atom_site_fract_z
_atom_site_occupancy
Pr1 0.0000 0.0000 0.0000 1
Tm1 0.0000 0.0000 0.5631 1
Tm2 0.0000 0.0000 0.7681 1
Ge1 0.0000 0.0000 0.1654 1
```

Properties
* ΔE to the lowest computed polymorph: 0.0846 eV per atom